Y3TmTl3 GGA-PBE optimized geometry; M_tot = 0.000 μB per atom; uncorrected energy = -32.43 eV/f.u.
1.0
5.2565 0.0000 0.0000
0.0000 9.3744 0.0000
0.0000 -4.6872 8.1185
Y Tm Tl
6 2 6
Direct
0.7500 0.0031 0.2364 Y
0.7500 0.7636 0.7667 Y
0.2500 0.2364 0.2333 Y
0.2500 0.7667 0.0031 Y
0.2500 0.9969 0.7636 Y
0.7500 0.2333 0.9969 Y
0.2500 0.6667 0.3333 Tm
0.7500 0.3333 0.6667 Tm
0.7500 0.9279 0.5494 Tl
0.7500 0.4506 0.3785 Tl
0.2500 0.3785 0.9279 Tl
0.2500 0.5494 0.6215 Tl
0.7500 0.6215 0.0721 Tl
0.2500 0.0721 0.4506 Tl